{
  "formula": "TaFeAu2",
  "functional": "PBE-GGA",
  "state": "optimized geometry",
  "polymorph_energy_mev_per_atom": 166,
  "magmom_total_mub_per_atom": 0.671,
  "space_group": "R3m (160)",
  "total_energy_ev_per_atom": -6.54,
  "lattice_angstrom": [[-9.136, -1.962, -0.723], [-8.114, -4.671, -0.439], [-8.646, -3.062, 1.926]],
  "species": ["Au", "Au", "Fe", "Ta"],
  "frac_coords": [[0.001, 0.001, 0.001], [0.245, 0.245, 0.245], [0.501, 0.501, 0.501], [0.753, 0.753, 0.753]]
}